A plane-wave DFT calculation with GGA-PBE was carried out for a geometry-optimized Er4Hg2Pd structure.

- Energy of formation: -0.429 eV/atom
- Total magnetic moment: 0.0 μB per cell
- VASP energy: -27.05 eV for the cell shown
- Space group: No. 166
- ρ: 10.601 g/cm3

Structure (CIF):
```
data_Er4Hg2Pd
_chemical_formula_sum 'Er4 Hg2 Pd1'
_symmetry_space_group_name_H-M 'P 1'
_symmetry_Int_Tables_number 1
_cell_length_a 8.792
_cell_length_b 8.792
_cell_length_c 8.792
_cell_angle_alpha 33.49
_cell_angle_beta 33.49
_cell_angle_gamma 33.49
loop_
_symmetry_equiv_pos_as_xyz
'x,y,z'
loop_
_atom_site_label
_atom_site_type_symbol
_atom_site_fract_x
_atom_site_fract_y
_atom_site_fract_z
_atom_site_occupancy
Er1 Er 0.122 0.122 0.122 1
Er2 Er 0.373 0.373 0.373 1
Er3 Er 0.627 0.627 0.627 1
Er4 Er 0.878 0.878 0.878 1
Hg1 Hg 0.245 0.245 0.245 1
Hg2 Hg 0.755 0.755 0.755 1
Pd1 Pd 0.000 0.000 0.000 1
```


A plane-wave DFT calculation with GGA-PBE was carried out for a geometry-optimized ErHg3Pd6 structure.

- Energy of formation: -0.312 eV/atom
- Total magnetic moment: 0.0 μB per cell
- VASP energy: -79.49 eV for the cell shown
- Space group: No. 11
- Energy above the most stable polymorph in this dataset: 93 meV per atom
- ρ: 12.287 g/cm3

Structure (CIF):
```
data_ErHg3Pd6
_chemical_formula_sum 'Er2 Hg6 Pd12'
_symmetry_space_group_name_H-M 'P 1'
_symmetry_Int_Tables_number 1
_cell_length_a 8.995
_cell_length_b 4.197
_cell_length_c 11.008
_cell_angle_alpha 90.00
_cell_angle_beta 113.72
_cell_angle_gamma 90.00
loop_
_symmetry_equiv_pos_as_xyz
'x,y,z'
loop_
_atom_site_label
_atom_site_type_symbol
_atom_site_fract_x
_atom_site_fract_y
_atom_site_fract_z
_atom_site_occupancy
Er1 Er 0.240 0.250 0.172 1
Er2 Er 0.760 0.750 0.828 1
Hg1 Hg 0.008 0.750 0.707 1
Hg2 Hg 0.284 0.250 0.833 1
Hg3 Hg 0.297 0.750 0.567 1
Hg4 Hg 0.703 0.250 0.433 1
Hg5 Hg 0.716 0.750 0.167 1
Hg6 Hg 0.992 0.250 0.293 1
Pd1 Pd 0.008 0.250 0.900 1
Pd2 Pd 0.095 0.250 0.569 1
Pd3 Pd 0.245 0.750 0.005 1
Pd4 Pd 0.386 0.250 0.440 1
Pd5 Pd 0.476 0.750 0.278 1
Pd6 Pd 0.496 0.250 0.097 1
Pd7 Pd 0.504 0.750 0.903 1
Pd8 Pd 0.524 0.250 0.722 1
Pd9 Pd 0.614 0.750 0.560 1
Pd10 Pd 0.755 0.250 0.995 1
Pd11 Pd 0.905 0.750 0.431 1
Pd12 Pd 0.992 0.750 0.100 1
```


A plane-wave DFT calculation with GGA-PBE was carried out for a geometry-optimized ErHgPd3 structure.

- Energy of formation: -0.570 eV/atom
- Total magnetic moment: 0.0 μB per cell
- VASP energy: -46.59 eV for the cell shown
- Space group: No. 26
- ρ: 11.194 g/cm3

Structure (CIF):
```
data_ErHgPd3
_chemical_formula_sum 'Er2 Hg2 Pd6'
_symmetry_space_group_name_H-M 'P 1'
_symmetry_Int_Tables_number 1
_cell_length_a 4.166
_cell_length_b 8.557
_cell_length_c 5.718
_cell_angle_alpha 90.00
_cell_angle_beta 90.00
_cell_angle_gamma 90.00
loop_
_symmetry_equiv_pos_as_xyz
'x,y,z'
loop_
_atom_site_label
_atom_site_type_symbol
_atom_site_fract_x
_atom_site_fract_y
_atom_site_fract_z
_atom_site_occupancy
Er1 Er 0.000 0.164 0.000 1
Er2 Er 0.000 0.836 0.500 1
Hg1 Hg 0.500 0.360 0.287 1
Hg2 Hg 0.500 0.640 0.787 1
Pd1 Pd 0.000 0.167 0.507 1
Pd2 Pd 0.000 0.833 0.007 1
Pd3 Pd 0.500 0.006 0.255 1
Pd4 Pd 0.500 0.326 0.774 1
Pd5 Pd 0.500 0.674 0.274 1
Pd6 Pd 0.500 0.994 0.755 1
```


A plane-wave DFT calculation with GGA-PBE was carried out for a geometry-optimized Er2Hg3Pd structure.

- Energy of formation: -0.499 eV/atom
- Total magnetic moment: 0.0 μB per cell
- VASP energy: -18.22 eV for the cell shown
- Space group: No. 25
- ρ: 12.572 g/cm3

Structure (CIF):
```
data_Er2Hg3Pd
_chemical_formula_sum 'Er2 Hg3 Pd1'
_symmetry_space_group_name_H-M 'P 1'
_symmetry_Int_Tables_number 1
_cell_length_a 3.405
_cell_length_b 4.810
_cell_length_c 8.411
_cell_angle_alpha 90.00
_cell_angle_beta 90.00
_cell_angle_gamma 90.00
loop_
_symmetry_equiv_pos_as_xyz
'x,y,z'
loop_
_atom_site_label
_atom_site_type_symbol
_atom_site_fract_x
_atom_site_fract_y
_atom_site_fract_z
_atom_site_occupancy
Er1 Er 0.000 0.000 0.000 1
Er2 Er 0.000 0.500 0.441 1
Hg1 Hg 0.500 0.000 0.621 1
Hg2 Hg 0.500 0.500 0.133 1
Hg3 Hg 0.500 0.500 0.796 1
Pd1 Pd 0.500 0.000 0.294 1
```


A plane-wave DFT calculation with GGA-PBE was carried out for a geometry-optimized Er6Hg5Pd structure.

- Energy of formation: -0.550 eV/atom
- Total magnetic moment: 0.0 μB per cell
- VASP energy: -40.68 eV for the cell shown
- Space group: No. 65
- ρ: 11.992 g/cm3

Structure (CIF):
```
data_Er6Hg5Pd
_chemical_formula_sum 'Er6 Hg5 Pd1'
_symmetry_space_group_name_H-M 'P 1'
_symmetry_Int_Tables_number 1
_cell_length_a 8.152
_cell_length_b 8.152
_cell_length_c 7.335
_cell_angle_alpha 90.00
_cell_angle_beta 90.00
_cell_angle_gamma 143.12
loop_
_symmetry_equiv_pos_as_xyz
'x,y,z'
loop_
_atom_site_label
_atom_site_type_symbol
_atom_site_fract_x
_atom_site_fract_y
_atom_site_fract_z
_atom_site_occupancy
Er1 Er 0.000 0.000 0.239 1
Er2 Er 0.000 0.000 0.761 1
Er3 Er 0.339 0.661 0.245 1
Er4 Er 0.339 0.661 0.755 1
Er5 Er 0.661 0.339 0.245 1
Er6 Er 0.661 0.339 0.755 1
Hg1 Hg 0.168 0.832 0.500 1
Hg2 Hg 0.171 0.829 0.000 1
Hg3 Hg 0.500 0.500 0.500 1
Hg4 Hg 0.829 0.171 0.000 1
Hg5 Hg 0.832 0.168 0.500 1
Pd1 Pd 0.500 0.500 0.000 1
```


A plane-wave DFT calculation with GGA-PBE was carried out for a geometry-optimized ErHg2Pd7 structure.

- Energy of formation: -0.012 eV/atom
- Total magnetic moment: 0.0 μB per cell
- VASP energy: -41.63 eV for the cell shown
- Space group: No. 65
- ρ: 9.749 g/cm3

Structure (CIF):
```
data_ErHg2Pd7
_chemical_formula_sum 'Er1 Hg2 Pd7'
_symmetry_space_group_name_H-M 'P 1'
_symmetry_Int_Tables_number 1
_cell_length_a 7.937
_cell_length_b 7.937
_cell_length_c 4.348
_cell_angle_alpha 90.00
_cell_angle_beta 90.00
_cell_angle_gamma 125.24
loop_
_symmetry_equiv_pos_as_xyz
'x,y,z'
loop_
_atom_site_label
_atom_site_type_symbol
_atom_site_fract_x
_atom_site_fract_y
_atom_site_fract_z
_atom_site_occupancy
Er1 Er 0.000 0.000 0.000 1
Hg1 Hg 0.300 0.700 0.500 1
Hg2 Hg 0.700 0.300 0.500 1
Pd1 Pd 0.082 0.283 0.500 1
Pd2 Pd 0.187 0.813 0.000 1
Pd3 Pd 0.283 0.082 0.500 1
Pd4 Pd 0.500 0.500 0.500 1
Pd5 Pd 0.717 0.918 0.500 1
Pd6 Pd 0.813 0.187 0.000 1
Pd7 Pd 0.918 0.717 0.500 1
```


A plane-wave DFT calculation with GGA-PBE was carried out for a geometry-optimized Er4Hg5Pd2 structure.

- Energy of formation: -0.582 eV/atom
- Total magnetic moment: 0.0 μB per cell
- VASP energy: -36.55 eV for the cell shown
- Space group: No. 10
- ρ: 12.060 g/cm3

Structure (CIF):
```
data_Er4Hg5Pd2
_chemical_formula_sum 'Er4 Hg5 Pd2'
_symmetry_space_group_name_H-M 'P 1'
_symmetry_Int_Tables_number 1
_cell_length_a 7.620
_cell_length_b 3.545
_cell_length_c 9.628
_cell_angle_alpha 90.00
_cell_angle_beta 93.82
_cell_angle_gamma 90.00
loop_
_symmetry_equiv_pos_as_xyz
'x,y,z'
loop_
_atom_site_label
_atom_site_type_symbol
_atom_site_fract_x
_atom_site_fract_y
_atom_site_fract_z
_atom_site_occupancy
Er1 Er 0.180 0.000 0.355 1
Er2 Er 0.231 0.000 0.937 1
Er3 Er 0.769 0.000 0.063 1
Er4 Er 0.820 0.000 0.645 1
Hg1 Hg 0.168 0.500 0.641 1
Hg2 Hg 0.454 0.500 0.172 1
Hg3 Hg 0.500 0.500 0.500 1
Hg4 Hg 0.546 0.500 0.828 1
Hg5 Hg 0.832 0.500 0.359 1
Pd1 Pd 0.071 0.500 0.136 1
Pd2 Pd 0.929 0.500 0.864 1
```


A plane-wave DFT calculation with GGA-PBE was carried out for a geometry-optimized ErHgPd6 structure.

- Energy of formation: -0.511 eV/atom
- Total magnetic moment: 0.0 μB per cell
- VASP energy: -40.11 eV for the cell shown
- Space group: No. 123
- Energy above the most stable polymorph in this dataset: 0 meV per atom
- ρ: 12.301 g/cm3

Structure (CIF):
```
data_ErHgPd6
_chemical_formula_sum 'Er1 Hg1 Pd6'
_symmetry_space_group_name_H-M 'P 1'
_symmetry_Int_Tables_number 1
_cell_length_a 5.730
_cell_length_b 5.730
_cell_length_c 4.138
_cell_angle_alpha 90.00
_cell_angle_beta 90.00
_cell_angle_gamma 90.00
loop_
_symmetry_equiv_pos_as_xyz
'x,y,z'
loop_
_atom_site_label
_atom_site_type_symbol
_atom_site_fract_x
_atom_site_fract_y
_atom_site_fract_z
_atom_site_occupancy
Er1 Er 0.000 0.000 0.000 1
Hg1 Hg 0.500 0.500 0.000 1
Pd1 Pd 0.000 0.500 0.000 1
Pd2 Pd 0.251 0.251 0.500 1
Pd3 Pd 0.251 0.749 0.500 1
Pd4 Pd 0.500 0.000 0.000 1
Pd5 Pd 0.749 0.251 0.500 1
Pd6 Pd 0.749 0.749 0.500 1
```


A plane-wave DFT calculation with GGA-PBE was carried out for a geometry-optimized Er8HgPd2 structure.

- Energy of formation: -0.416 eV/atom
- Total magnetic moment: 0.0 μB per cell
- VASP energy: -51.77 eV for the cell shown
- Space group: No. 12
- Energy above the most stable polymorph in this dataset: 0 meV per atom
- ρ: 9.905 g/cm3

Structure (CIF):
```
data_Er8HgPd2
_chemical_formula_sum 'Er8 Hg1 Pd2'
_symmetry_space_group_name_H-M 'P 1'
_symmetry_Int_Tables_number 1
_cell_length_a 9.180
_cell_length_b 9.180
_cell_length_c 6.864
_cell_angle_alpha 105.87
_cell_angle_beta 105.87
_cell_angle_gamma 31.97
loop_
_symmetry_equiv_pos_as_xyz
'x,y,z'
loop_
_atom_site_label
_atom_site_type_symbol
_atom_site_fract_x
_atom_site_fract_y
_atom_site_fract_z
_atom_site_occupancy
Er1 Er 0.034 0.034 0.271 1
Er2 Er 0.201 0.201 0.828 1
Er3 Er 0.326 0.326 0.520 1
Er4 Er 0.406 0.406 0.030 1
Er5 Er 0.594 0.594 0.970 1
Er6 Er 0.674 0.674 0.480 1
Er7 Er 0.799 0.799 0.172 1
Er8 Er 0.966 0.966 0.729 1
Hg1 Hg 0.500 0.500 0.500 1
Pd1 Pd 0.184 0.184 0.221 1
Pd2 Pd 0.816 0.816 0.779 1
```


A plane-wave DFT calculation with GGA-PBE was carried out for a geometry-optimized Er5Hg4Pd structure.

- Energy of formation: -0.566 eV/atom
- Total magnetic moment: 0.0 μB per cell
- VASP energy: -34.88 eV for the cell shown
- Space group: No. 123
- ρ: 11.953 g/cm3

Structure (CIF):
```
data_Er5Hg4Pd
_chemical_formula_sum 'Er5 Hg4 Pd1'
_symmetry_space_group_name_H-M 'P 1'
_symmetry_Int_Tables_number 1
_cell_length_a 3.637
_cell_length_b 3.637
_cell_length_c 18.323
_cell_angle_alpha 90.00
_cell_angle_beta 90.00
_cell_angle_gamma 90.00
loop_
_symmetry_equiv_pos_as_xyz
'x,y,z'
loop_
_atom_site_label
_atom_site_type_symbol
_atom_site_fract_x
_atom_site_fract_y
_atom_site_fract_z
_atom_site_occupancy
Er1 Er 0.000 0.000 0.000 1
Er2 Er 0.000 0.000 0.205 1
Er3 Er 0.000 0.000 0.410 1
Er4 Er 0.000 0.000 0.590 1
Er5 Er 0.000 0.000 0.795 1
Hg1 Hg 0.500 0.500 0.103 1
Hg2 Hg 0.500 0.500 0.305 1
Hg3 Hg 0.500 0.500 0.695 1
Hg4 Hg 0.500 0.500 0.897 1
Pd1 Pd 0.500 0.500 0.500 1
```